First-principles (PBE) data for crystalline Tm3In5Te12 at its relaxed geometry, as listed in Alexandria.

The formation energy (no corrections) is -1113 kJ/mol of formula units.

It has space group Ia-3d (No. 230), with a = 17.713 Å, b = 17.713 Å, c = 17.713 Å, α = 90.00°, β = 90.00° and γ = 90.00°. The distinct sites, in fractional coordinates, are Tm at (0.000, 0.250, 0.125), In at (0.000, 0.000, 0.000), In at (0.000, 0.250, 0.375) and Te at (0.020, 0.067, 0.653).